[1]
{
  "formula": "CuNi2IrC",
  "functional": "PBE-GGA",
  "state": "relaxed",
  "cell": [[-2.772, -1.062, -2.365], [2.495, -2.034, -2.011], [-0.737, -3.160, 2.283]],
  "species": ["Cu", "C", "Ni", "Ni", "Ir"],
  "frac_coords": [[0.500, 0.500, 0.500], [0.000, 0.000, 0.000], [0.500, 0.000, 0.000], [0.000, 0.500, 0.000], [0.000, 0.000, 0.500]],
  "energy_ry_per_atom": -0.484,
  "vol_a3_per_cell": 57,
  "formation_energy_ev_per_atom": 0.161
}

[2]
{
  "formula": "CuIrC2O",
  "functional": "PBE-GGA",
  "state": "relaxed",
  "cell": [[-0.455, 0.184, 3.709], [2.112, -3.101, 0.413], [3.067, 2.125, 0.271]],
  "species": ["C", "O", "C", "Ir", "Cu"],
  "frac_coords": [[0.000, 0.000, 0.500], [0.000, 0.500, 0.000], [0.500, 0.000, 0.000], [0.500, 0.500, 0.500], [0.000, 0.000, 0.000]],
  "e_form_raw_ev_per_atom": 2.12,
  "energy_ry_per_atom": -0.379,
  "vol_a3_per_cell": 53
}

[3]
{
  "formula": "CuIrRh2C",
  "functional": "PBE-GGA",
  "state": "relaxed",
  "cell": [[-4.493, -1.296, -0.421], [-0.382, -0.194, 4.675], [-0.935, 3.224, 0.057]],
  "species": ["Rh", "Cu", "Ir", "C", "Rh"],
  "frac_coords": [[0.500, 0.000, 0.000], [0.000, 0.000, 0.000], [0.500, 0.500, 0.500], [0.000, 0.000, 0.500], [0.000, 0.500, 0.000]],
  "energy_ry_per_atom": -0.421,
  "vol_a3_per_cell": 74,
  "formation_energy_ev_per_atom": 1.651
}